1.
The following is a DFT calculation (PBE) of a geometry-optimized YTl2IO8 structure.

Cell lengths 5.090, 5.100, 6.798 Å; angles 92.00, 92.04, 91.86 degrees
Fractional positions:
Y: 0.000 0.000 0.000
Tl: 0.480 0.480 0.750
Tl: 0.520 0.520 0.250
I: 0.000 0.000 0.500
O: 0.169 0.820 0.292
O: 0.185 0.837 0.709
O: 0.272 0.281 0.497
O: 0.304 0.310 0.016
O: 0.696 0.690 0.984
O: 0.728 0.719 0.503
O: 0.815 0.163 0.291
O: 0.831 0.180 0.708

Results
N(E_F): 0.54 states/eV/f.u.
SG: P-1
Formation energy (no corrections): -1.063 eV/atom


2.
The following is a DFT calculation (PBE) of a geometry-optimized Ta2CoB structure.

Cell lengths 5.292, 5.292, 5.292 Å; angles 105.97, 105.97, 116.73 degrees
Fractional positions:
Ta: 0.102 0.625 0.977
Ta: 0.375 0.352 0.477
Ta: 0.648 0.125 0.023
Ta: 0.875 0.898 0.523
Co: 0.250 0.750 0.500
Co: 0.500 0.500 0.000
B: 0.000 0.000 0.000
B: 0.750 0.250 0.500

Results
N(E_F): 3.27 states/eV/f.u.
E_form: 108 kJ/mol of formula units
SG: I-42d


3.
The following is a DFT calculation (PBE) of a geometry-optimized TbGdCo structure.

Cell lengths 4.712, 4.712, 4.712 Å; angles 60.00, 60.00, 60.00 degrees
Fractional positions:
Tb: 0.000 0.000 0.000
Gd: 0.500 0.500 0.500
Co: 0.750 0.750 0.750

Results
N(E_F): 2.94 states/eV/f.u.
E_form: -12 kJ/mol of formula units
SG: F-43m


4.
The following is a DFT calculation (PBE) of a geometry-optimized KGeAu3 structure.

Cell lengths 7.108, 7.108, 7.540 Å; angles 105.09, 105.09, 37.55 degrees
Fractional positions:
K: 0.153 0.153 0.498
K: 0.847 0.847 0.502
Ge: 0.473 0.473 0.296
Ge: 0.527 0.527 0.704
Au: 0.070 0.070 0.879
Au: 0.269 0.269 0.141
Au: 0.375 0.375 0.852
Au: 0.625 0.625 0.148
Au: 0.731 0.731 0.859
Au: 0.930 0.930 0.121

Results
N(E_F): 1.84 states/eV/f.u.
E_form: -57 kJ/mol of formula units
SG: C2/m


5.
The following is a DFT calculation (PBE) of a geometry-optimized MgNpZnOs structure.

Cell lengths 4.705, 4.705, 4.705 Å; angles 60.00, 60.00, 60.00 degrees
Fractional positions:
Mg: 0.000 0.000 0.000
Np: 0.500 0.500 0.500
Zn: 0.750 0.750 0.750
Os: 0.250 0.250 0.250

Results
N(E_F): 9.31 states/eV/f.u.
E_form: 91 kJ/mol of formula units
SG: F-43m


6.
The following is a DFT calculation (PBE) of a geometry-optimized Nd2ThRh2 structure.

Cell lengths 6.541, 6.541, 7.466 Å; angles 100.13, 100.13, 57.45 degrees
Fractional positions:
Nd: 0.048 0.264 0.152
Nd: 0.264 0.048 0.652
Nd: 0.736 0.952 0.348
Nd: 0.952 0.736 0.848
Th: 0.411 0.589 0.250
Th: 0.589 0.411 0.750
Rh: 0.207 0.498 0.489
Rh: 0.498 0.207 0.989
Rh: 0.502 0.793 0.011
Rh: 0.793 0.502 0.511

Results
N(E_F): 5.03 states/eV/f.u.
E_form: -325 kJ/mol of formula units
SG: C2/c


7.
The following is a DFT calculation (PBE) of a geometry-optimized EuThCd4 structure.

Cell lengths 6.023, 6.023, 6.023 Å; angles 60.00, 60.00, 60.00 degrees
Fractional positions:
Eu: 0.000 0.000 0.000
Th: 0.750 0.750 0.750
Cd: 0.375 0.375 0.375
Cd: 0.375 0.375 0.874
Cd: 0.375 0.874 0.375
Cd: 0.874 0.375 0.375

Results
N(E_F): 6.42 states/eV/f.u.
E_form: -110 kJ/mol of formula units
SG: F-43m


8.
The following is a DFT calculation (PBE) of a geometry-optimized MgGeTe2 structure.

Cell lengths 5.233, 5.233, 5.233 Å; angles 60.00, 60.00, 60.00 degrees
Fractional positions:
Mg: 0.000 0.000 0.000
Ge: 0.500 0.500 0.500
Te: 0.250 0.250 0.250
Te: 0.750 0.750 0.750

Results
N(E_F): 1.99 states/eV/f.u.
SG: Fm-3m
Formation energy (no corrections): -0.067 eV/atom


9.
The following is a DFT calculation (PBE) of a geometry-optimized Pa3Tc2Pd structure.

Cell lengths 6.902, 6.902, 7.945 Å; angles 106.65, 106.65, 47.94 degrees
Fractional positions:
Pa: 0.002 0.998 0.750
Pa: 0.320 0.321 0.910
Pa: 0.321 0.320 0.410
Pa: 0.679 0.680 0.590
Pa: 0.680 0.679 0.090
Pa: 0.998 0.002 0.250
Tc: 0.159 0.160 0.580
Tc: 0.160 0.159 0.080
Tc: 0.840 0.841 0.920
Tc: 0.841 0.840 0.420
Pd: 0.498 0.502 0.250
Pd: 0.502 0.498 0.750

Results
N(E_F): 6.82 states/eV/f.u.
E_form: -134 kJ/mol of formula units
SG: C2/c


10.
The following is a DFT calculation (PBE) of a geometry-optimized KAlF4 structure.

Cell lengths 3.675, 3.675, 6.272 Å; angles 90.00, 90.00, 90.00 degrees
Fractional positions:
K: 0.000 0.000 0.000
Al: 0.500 0.500 0.500
F: 0.000 0.500 0.500
F: 0.500 0.000 0.500
F: 0.500 0.500 0.215
F: 0.500 0.500 0.785

Results
N(E_F): 0.00 states/eV/f.u.
SG: P4/mmm
Formation energy (no corrections): -3.356 eV/atom


11.
The following is a DFT calculation (PBE) of a geometry-optimized ZnCdGaGe structure.

Cell lengths 4.801, 4.801, 4.801 Å; angles 60.00, 60.00, 60.00 degrees
Fractional positions:
Zn: 0.000 0.000 0.000
Cd: 0.250 0.250 0.250
Ga: 0.500 0.500 0.500
Ge: 0.750 0.750 0.750

Results
N(E_F): 2.09 states/eV/f.u.
E_form: 77 kJ/mol of formula units
SG: F-43m


12.
The following is a DFT calculation (PBE) of a geometry-optimized Li2MgTl8 structure.

Cell lengths 7.955, 7.955, 5.958 Å; angles 100.91, 100.91, 58.48 degrees
Fractional positions:
Li: 0.118 0.118 0.019
Li: 0.882 0.882 0.981
Mg: 0.000 0.000 0.500
Tl: 0.222 0.222 0.627
Tl: 0.233 0.641 0.734
Tl: 0.341 0.341 0.194
Tl: 0.359 0.767 0.266
Tl: 0.641 0.233 0.734
Tl: 0.659 0.659 0.806
Tl: 0.767 0.359 0.266
Tl: 0.778 0.778 0.373

Results
N(E_F): 4.92 states/eV/f.u.
E_form: 18 kJ/mol of formula units
SG: C2/m